Sb2Pd12Au5: optimized geometry, PBE.

The structure in POSCAR format:
```
Sb2Pd12Au5
1.0
6.9023 -4.6968 0.0000
6.9023 4.6968 0.0000
-1.0979 0.0000 4.9615
Sb Pd Au
2 12 5
Cartesian
6.9023 2.4037 0.0000
6.9023 -2.4037 0.0000
3.3274 2.3799 3.9130
0.4503 0.0000 1.4159
5.1069 2.3890 1.8419
7.5999 2.3890 3.1196
4.3666 0.0000 4.8918
9.3794 2.3799 1.0485
3.3274 -2.3799 3.9130
8.3402 0.0000 0.0697
5.1069 -2.3890 1.8419
7.5999 -2.3890 3.1196
12.2565 0.0000 3.5456
9.3794 -2.3799 1.0485
1.5359 0.0000 4.3675
3.4491 0.0000 2.2227
6.3534 0.0000 2.4807
9.2577 0.0000 2.7388
11.1709 0.0000 0.5940
```

Properties
energy relative to the elements, uncorrected = -0.173 eV/atom
size of the total moment = 0.00 μB per atom
DOS at the Fermi energy = 8.7 states/eV/f.u.